DFT (PBE) results for TbPr4S5 after structural relaxation.

Cell and atoms, written as CIF:
```
data_TbPr4S5
_chemical_formula_sum 'Tb1 Pr4 S5'
_space_group_name_H-M_alt 'P 1'
_space_group_IT_number 1
_cell_length_a 4.069
_cell_length_b 4.069
_cell_length_c 14.708
_cell_angle_alpha 97.95
_cell_angle_beta 97.95
_cell_angle_gamma 90.00
loop_
_space_group_symop_operation_xyz
'x,y,z'
loop_
_atom_site_label
_atom_site_fract_x
_atom_site_fract_y
_atom_site_fract_z
_atom_site_occupancy
S1 0.702 0.702 0.403 1
S2 0.500 0.500 0.000 1
S3 0.298 0.298 0.597 1
S4 0.904 0.904 0.808 1
S5 0.096 0.096 0.192 1
Pr1 0.601 0.601 0.201 1
Pr2 0.197 0.197 0.394 1
Pr3 0.399 0.399 0.799 1
Pr4 0.803 0.803 0.606 1
Tb1 0.000 0.000 0.000 1
```

Results
spin magnetization	0.0	μB/cell
formation energy from raw total energies	-2.01	eV per atom
space-group type	I4/mmm (139)
crystal system	tetragonal